A plane-wave DFT calculation with PBE was carried out for a relaxed PmTlNi4 crystal.

Computed properties:
E, eV per cell: -31.63
Space-group type: No. 216
D(E_F), states/eV/cell: 3.6
Energy relative to the elements, eV/f.u.: -1.384
Mass density, g/cm³: 10.5

The structure in POSCAR format:
```
PmTlNi4
1.0
0.0000 3.5864 3.5864
3.5864 0.0000 3.5864
3.5864 3.5864 0.0000
Pm Tl Ni
1 1 4
Direct
0.0000 0.0000 0.0000
0.7500 0.7500 0.7500
0.3759 0.3759 0.3759
0.3759 0.3759 0.8722
0.3759 0.8722 0.3759
0.8722 0.3759 0.3759
```